Entry from Alexandria: crystalline MgBe2F6 at its relaxed geometry (PBE-GGA).

The structure in POSCAR format:
```
MgBe2F6
1.0
-0.759 0.210 -2.742
-4.306 -2.775 -0.505
-5.930 4.969 0.539
Mg Be F
1 2 6
direct
0.000 0.500 0.500 Mg
0.193 0.833 0.781 Be
0.807 0.167 0.219 Be
0.678 0.764 0.881 F
0.322 0.236 0.119 F
0.910 0.860 0.321 F
0.362 0.639 0.638 F
0.090 0.140 0.679 F
0.638 0.361 0.362 F
```

Fermi-level density of states, states/eV per cell: 0.000
E, eV per atom: -5.55

Entry from Alexandria: crystalline Ba2TiF8 at its relaxed geometry (PBE-GGA).

The structure in POSCAR format:
```
Ba2TiF8
1.0
-0.096 -3.423 2.355
2.786 -2.627 -3.704
5.177 5.171 4.058
Ba Ti F
2 1 8
direct
0.840 0.340 0.679 Ba
0.160 0.660 0.321 Ba
0.500 0.000 0.000 Ti
0.407 0.675 0.815 F
0.593 0.860 0.185 F
0.768 0.768 0.537 F
0.000 0.214 0.000 F
0.232 0.232 0.463 F
0.407 0.140 0.815 F
0.593 0.325 0.185 F
0.000 0.786 0.000 F
```

Fermi-level density of states, states/eV per cell: 0.000
E, eV per atom: -5.98

Entry from Alexandria: crystalline NaGd2Zr at its relaxed geometry (PBE-GGA).

The structure in POSCAR format:
```
NaGd2Zr
1.0
3.405 0.000 0.000
0.000 3.405 0.000
0.000 0.000 10.531
Na Gd Zr
1 2 1
direct
0.500 0.500 0.500 Na
0.000 0.000 0.784 Gd
0.000 0.000 0.216 Gd
0.500 0.500 0.000 Zr
```

Fermi-level density of states, states/eV per cell: 3.884
E, eV per atom: -9.40

Entry from Alexandria: crystalline Rb3In2Ga4 at its relaxed geometry (PBE-GGA).

The structure in POSCAR format:
```
Rb3In2Ga4
1.0
5.091 0.002 0.014
2.547 6.695 -0.016
2.568 2.561 9.178
Rb In Ga
3 2 4
direct
0.619 0.123 0.636 Rb
0.000 0.000 0.000 Rb
0.381 0.877 0.364 Rb
0.692 0.384 0.239 In
0.308 0.616 0.761 In
0.249 0.436 0.075 Ga
0.905 0.555 0.632 Ga
0.095 0.445 0.368 Ga
0.751 0.564 0.925 Ga
```

Fermi-level density of states, states/eV per cell: 4.246
E, eV per atom: -2.31

Entry from Alexandria: crystalline CaZn2Cd2 at its relaxed geometry (PBE-GGA).

The structure in POSCAR format:
```
CaZn2Cd2
1.0
-2.118 -0.043 -5.512
1.764 -5.299 -3.843
-5.488 -4.680 -1.043
Ca Zn Cd
2 4 4
direct
0.882 0.749 0.249 Ca
0.118 0.251 0.751 Ca
0.427 0.829 0.053 Zn
0.690 0.332 0.555 Zn
0.573 0.171 0.947 Zn
0.310 0.668 0.445 Zn
0.572 0.339 0.222 Cd
0.865 0.846 0.716 Cd
0.135 0.154 0.284 Cd
0.428 0.661 0.778 Cd
```

Fermi-level density of states, states/eV per cell: 3.601
E, eV per atom: -1.45

Entry from Alexandria: crystalline OsWCl2 at its relaxed geometry (PBE-GGA).

The structure in POSCAR format:
```
OsWCl2
1.0
10.097 -0.046 -0.027
9.696 2.819 -0.027
9.696 1.359 2.470
Os W Cl
1 1 2
direct
0.250 0.250 0.250 Os
0.750 0.750 0.750 W
0.022 0.022 0.022 Cl
0.478 0.478 0.478 Cl
```

Fermi-level density of states, states/eV per cell: 4.938
E, eV per atom: -6.09

Entry from Alexandria: crystalline V2Te2I at its relaxed geometry (PBE-GGA).

The structure in POSCAR format:
```
V2Te2I
1.0
0.815 3.230 -2.141
0.669 -2.273 -3.173
-9.095 0.160 0.440
V Te I
2 2 1
direct
0.843 0.843 0.687 V
0.157 0.157 0.313 V
0.681 0.681 0.362 Te
0.319 0.319 0.638 Te
0.000 0.000 0.000 I
```

Fermi-level density of states, states/eV per cell: 8.182
E, eV per atom: -5.38

Entry from Alexandria: crystalline CoCuPt4 at its relaxed geometry (PBE-GGA).

The structure in POSCAR format:
```
CoCuPt4
1.0
-2.202 1.616 -0.251
-1.309 -1.994 -1.355
-4.101 -4.049 9.924
Co Cu Pt
1 1 4
direct
0.500 0.500 0.500 Co
0.000 0.000 0.000 Cu
0.500 0.500 0.161 Pt
0.000 0.000 0.657 Pt
0.000 0.000 0.343 Pt
0.500 0.500 0.839 Pt
```

Fermi-level density of states, states/eV per cell: 5.630
E, eV per atom: -6.02

Entry from Alexandria: crystalline EuBiRh at its relaxed geometry (PBE-GGA).

The structure in POSCAR format:
```
EuBiRh
1.0
3.561 0.000 0.000
0.000 3.561 0.000
-1.780 -1.780 5.843
Eu Rh Bi
1 1 1
direct
0.935 0.935 0.870 Eu
0.265 0.265 0.529 Rh
0.650 0.650 0.301 Bi
```

Fermi-level density of states, states/eV per cell: 5.746
E, eV per atom: -7.56

Entry from Alexandria: crystalline LiTaRe2F at its relaxed geometry (PBE-GGA).

The structure in POSCAR format:
```
LiTaRe2F
1.0
-3.148 2.758 -2.655
-2.853 -0.615 2.744
1.482 4.047 2.447
Re F Li Ta
2 1 1 1
direct
0.000 0.000 0.500 Re
0.500 0.000 0.000 Re
0.000 0.500 0.000 F
0.500 0.500 0.500 Li
0.000 0.000 0.000 Ta
```

Fermi-level density of states, states/eV per cell: 4.814
E, eV per atom: -7.08

Entry from Alexandria: crystalline Zr2ScOs at its relaxed geometry (PBE-GGA).

The structure in POSCAR format:
```
Zr2ScOs
1.0
-4.107 1.006 2.242
-3.514 -3.247 0.129
-1.080 -2.195 4.114
Os Sc Zr
1 1 2
direct
0.500 0.500 0.500 Os
0.250 0.250 0.250 Sc
0.000 0.000 0.000 Zr
0.750 0.750 0.750 Zr
```

Fermi-level density of states, states/eV per cell: 7.133
E, eV per atom: -8.74

Entry from Alexandria: crystalline SrTc2 at its relaxed geometry (PBE-GGA).

The structure in POSCAR format:
```
SrTc2
1.0
5.554 0.000 0.000
-2.777 4.810 0.000
0.000 0.000 8.942
Sr Tc
4 8
direct
0.333 0.667 0.062 Sr
0.667 0.333 0.562 Sr
0.667 0.333 0.938 Sr
0.333 0.667 0.438 Sr
0.000 0.000 0.000 Tc
0.000 0.000 0.500 Tc
0.829 0.659 0.250 Tc
0.171 0.341 0.750 Tc
0.341 0.171 0.250 Tc
0.829 0.171 0.250 Tc
0.171 0.829 0.750 Tc
0.659 0.829 0.750 Tc
```

Fermi-level density of states, states/eV per cell: 12.159
E, eV per atom: -6.96